No. 1
4
Lattice="-1.706 1.706 5.816 1.706 -1.706 5.816 1.706 1.706 -5.816" Properties=species:S:1:pos:R:3 comment="BeRhSe2 GGA-PBEsol relaxed" sg="No. 119" total_magnetization_mub_per_fu=0.000 crystal_system=tetragonal e_form_raw_ev_per_atom=0.253 pbc="T T T"
Be 0.000 0.000 0.000
Rh 0.000 1.706 2.908
Se 1.706 0.000 2.908
Se 0.000 0.000 5.816

No. 2
29
Lattice="0.000 6.156 6.156 6.156 0.000 6.156 6.156 6.156 0.000" Properties=species:S:1:pos:R:3 comment="Sc6Ga16Os7 GGA-PBEsol relaxed" sg="No. 225" formation_enthalpy_0k_kj_per_mol_atoms=-41.83 total_magnetization_mub_per_fu=0.000 crystal_system=cubic pbc="T T T"
Sc 6.156 6.156 2.832
Sc 6.156 2.832 6.156
Sc 9.479 6.156 6.156
Sc 2.832 6.156 6.156
Sc 6.156 9.479 6.156
Sc 6.156 6.156 9.479
Ga 7.695 4.617 4.617
Ga 1.892 1.892 1.892
Ga 4.264 4.264 1.892
Ga 4.264 1.892 4.264
Ga 4.617 4.617 4.617
Ga 7.695 7.695 4.617
Ga 7.695 4.617 7.695
Ga 10.419 8.048 8.048
Ga 1.892 4.264 4.264
Ga 4.617 7.695 4.617
Ga 4.617 4.617 7.695
Ga 7.695 7.695 7.695
Ga 8.048 10.419 8.048
Ga 8.048 8.048 10.419
Ga 10.419 10.419 10.419
Ga 4.617 7.695 7.695
Os 3.078 3.078 0.000
Os 3.078 0.000 3.078
Os 6.156 3.078 3.078
Os 0.000 3.078 3.078
Os 3.078 6.156 3.078
Os 3.078 3.078 6.156
Os 6.156 6.156 6.156

No. 3
44
Lattice="5.605 0.000 0.000 0.000 8.346 0.000 -5.098 0.000 12.978" Properties=species:S:1:pos:R:3 comment="CuAs2PbO7 GGA-PBEsol relaxed" sg="No. 14" total_magnetization_mub_per_fu=0.998 crystal_system=monoclinic e_form_raw_ev_per_atom=-1.107 pbc="T T T"
Cu -0.940 1.122 4.945
Cu -3.489 3.050 11.434
Cu 3.996 5.295 1.544
Cu 1.447 7.223 8.033
As -1.228 4.395 4.450
As -3.776 8.124 10.939
As -4.143 5.721 12.901
As -1.594 6.797 6.412
As 2.101 1.549 6.566
As 4.650 2.624 0.077
As 4.283 0.222 2.039
As 1.735 3.951 8.528
Pb -1.253 5.680 10.065
Pb 1.296 6.838 3.576
Pb -0.789 1.507 9.402
Pb 1.760 2.665 2.913
O -3.289 5.552 8.470
O -0.740 6.966 1.981
O -1.818 1.209 6.683
O 0.731 2.964 0.194
O -1.420 5.041 6.076
O -3.968 7.478 12.565
O -0.232 1.033 3.085
O -2.780 3.140 9.574
O -3.326 4.989 11.578
O -0.777 7.530 5.089
O 0.387 4.554 3.986
O -2.161 7.965 10.475
O 1.742 5.585 1.407
O -0.807 6.934 7.896
O 1.314 1.412 5.082
O -1.235 2.761 11.571
O 2.668 0.381 2.503
O 0.120 3.792 8.992
O 1.284 0.816 7.889
O 3.833 3.357 1.400
O 3.287 5.205 3.404
O 0.739 7.313 9.893
O 4.475 0.868 0.413
O 1.926 3.305 6.902
O -0.224 5.382 12.784
O 2.325 7.137 6.295
O 1.247 1.380 10.997
O 3.796 2.793 4.508

No. 4
24
Lattice="4.945 0.000 0.000 0.015 5.624 0.000 2.398 1.408 6.864" Properties=species:S:1:pos:R:3 comment="Li7Mn2Co3O12 GGA-PBEsol relaxed" e_above_lowest_polymorph_mev_per_atom=23 sg="No. 1" total_magnetization_mub_per_fu=5.970 crystal_system=triclinic e_form_raw_ev_per_atom=-1.737 pbc="T T T"
Li 0.000 0.000 0.000
Li 0.819 4.143 2.299
Li 2.406 4.020 6.838
Li 0.827 1.255 2.241
Li 4.840 2.705 6.859
Li 6.469 2.723 4.697
Li 6.510 5.514 4.602
Mn 3.260 2.674 2.287
Mn 4.866 5.544 6.849
Co 4.049 1.313 4.604
Co 4.056 4.114 4.609
Co 3.275 5.518 2.282
O 3.285 2.713 5.605
O 1.738 5.445 1.142
O 1.751 2.781 1.184
O 3.363 5.529 5.691
O 2.561 1.286 3.382
O 2.580 4.113 3.396
O 4.732 5.519 3.502
O 4.753 2.721 3.518
O 3.978 4.099 1.192
O 5.589 4.194 5.746
O 5.584 1.236 5.732
O 4.048 1.319 1.287

no.,volume (Å³/cell)
1,68
2,467
3,607
4,191